Compound: CsNaSr3
Source: Alexandria
Functional: PBE
Structure: relaxed

Summary:
The total energy comes out at -0.659 eV per atom. As for the total magnetization: 3.83 μB per cell. Its space-group type is Pm-3m.

```
CsNaSr3
1.0
6.8355 0.0000 0.0000
0.0000 6.8355 0.0000
0.0000 0.0000 6.8355
Sr Na Cs
3 1 1
Cartesian
3.4178 0.0000 0.0000 Sr
0.0000 3.4178 0.0000 Sr
0.0000 0.0000 3.4178 Sr
3.4178 3.4178 3.4178 Na
0.0000 0.0000 0.0000 Cs
```